## Li2SiNi (PBE-GGA)

Data for a relaxed Li2SiNi crystal.

It has space group I-42d (No. 122), with a = 6.958 Å, b = 6.958 Å, c = 4.536 Å, α = 90.00°, β = 90.00° and γ = 90.00°. Symmetry generates all atoms from Li at (0.226, 0.250, 0.125), Si at (0.000, 0.000, 0.500) and Ni at (0.000, 0.000, 0.000).

Its total energy is -59.44 eV for the cell shown.

***

## Li2Si2Ni7 (PBE-GGA)

Data for a relaxed Li2Si2Ni7 crystal.

It has space group C2/m (No. 12), with a = 8.177 Å, b = 4.928 Å, c = 6.532 Å, α = 90.00°, β = 90.25° and γ = 90.00°. Symmetry generates all atoms from Li at (0.226, 0.000, 0.001), Si at (0.000, 0.260, 0.500), Ni at (0.000, 0.000, 0.212), Ni at (0.000, 0.500, 0.000) and Ni at (0.249, 0.251, 0.314).

Its total energy is -108.46 eV for the cell shown.

***

## LiSiNi6 (PBE-GGA)

Data for a relaxed LiSiNi6 crystal.

It has space group I4/mmm (No. 139), with a = 3.635 Å, b = 3.635 Å, c = 12.972 Å, α = 90.00°, β = 90.00° and γ = 90.00°. Symmetry generates all atoms from Li at (0.000, 0.000, 0.000), Si at (0.000, 0.000, 0.500), Ni at (0.000, 0.000, 0.250) and Ni at (0.000, 0.500, 0.118).

Its total energy is -87.54 eV for the cell shown. The energy above the most stable polymorph in this dataset comes out at 0.00 eV per formula unit.

***

## LiSi4Ni4 (PBE-GGA)

Data for a relaxed LiSi4Ni4 crystal.

It has space group I4/m (No. 87), with a = 7.798 Å, b = 7.798 Å, c = 4.319 Å, α = 90.00°, β = 90.00° and γ = 90.00°. Symmetry generates all atoms from Li at (0.000, 0.000, 0.000), Si at (0.111, 0.384, 0.000) and Ni at (0.178, 0.316, 0.500).

Its total energy is -100.60 eV for the cell shown.

***

## Li3Si2Ni2 (PBE-GGA)

Data for a relaxed Li3Si2Ni2 crystal.

It has space group C2/m (No. 12), with a = 6.909 Å, b = 3.998 Å, c = 6.488 Å, α = 90.00°, β = 110.92° and γ = 90.00°. Symmetry generates all atoms from Li at (0.000, 0.000, 0.000), Li at (0.144, 0.000, 0.429), Si at (0.087, 0.500, 0.764) and Ni at (0.217, 0.500, 0.149).

Its total energy is -62.41 eV for the cell shown.

***

## LiSiNi3 (PBE-GGA)

Data for a relaxed LiSiNi3 crystal.

It has space group Cmcm (No. 63), with a = 3.853 Å, b = 14.327 Å, c = 3.862 Å, α = 90.00°, β = 90.00° and γ = 90.00°. Symmetry generates all atoms from Li at (0.000, 0.151, 0.250), Si at (0.000, 0.350, 0.250), Ni at (0.000, 0.056, 0.750), Ni at (0.000, 0.250, 0.750) and Ni at (0.000, 0.444, 0.750).

Its total energy is -106.44 eV for the cell shown. The energy above the most stable polymorph in this dataset comes out at 0.00 eV per formula unit.

***

## Li2SiNi (PBE-GGA)

Data for a relaxed Li2SiNi crystal.

It has space group I4/mmm (No. 139), with a = 3.411 Å, b = 3.411 Å, c = 8.357 Å, α = 90.00°, β = 90.00° and γ = 90.00°. Symmetry generates all atoms from Li at (0.000, 0.500, 0.250), Si at (0.000, 0.000, 0.000) and Ni at (0.000, 0.000, 0.500).

Its total energy is -31.93 eV for the cell shown.

***

## LiSi6Ni6 (PBE-GGA)

Data for a relaxed LiSi6Ni6 crystal.

It has space group Immm (No. 71), with a = 4.890 Å, b = 7.583 Å, c = 8.453 Å, α = 90.00°, β = 90.00° and γ = 90.00°. Symmetry generates all atoms from Li at (0.000, 0.000, 0.000), Si at (0.000, 0.000, 0.333), Si at (0.000, 0.343, 0.000), Si at (0.000, 0.500, 0.335), Ni at (0.000, 0.247, 0.500) and Ni at (0.250, 0.250, 0.250).

Its total energy is -150.78 eV for the cell shown. The energy above the most stable polymorph in this dataset comes out at 0.00 eV per formula unit.

***

## Li2Si2Ni3 (PBE-GGA)

Data for a relaxed Li2Si2Ni3 crystal.

It has space group C2/m (No. 12), with a = 6.821 Å, b = 3.918 Å, c = 6.851 Å, α = 90.00°, β = 109.11° and γ = 90.00°. Symmetry generates all atoms from Li at (0.135, 0.000, 0.405), Si at (0.101, 0.500, 0.805), Ni at (0.000, 0.000, 0.000) and Ni at (0.225, 0.500, 0.174).

Its total energy is -70.46 eV for the cell shown.

***

## Li2SiNi3 (PBE-GGA)

Data for a relaxed Li2SiNi3 crystal.

It has space group R-3m (No. 166, hexagonal axes), with a = 4.8563 Å, b = 4.8563 Å, c = 10.9739 Å, α = 90.00°, β = 90.00° and γ = 120.00°. Symmetry generates all atoms from Li at (0.0000, 0.0000, 0.1213), Si at (0.0000, 0.0000, 0.5000) and Ni at (0.0000, 0.5000, 0.0000).

Its total energy is -85.59 eV for the cell shown.

***

## LiSiNi3 (PBE-GGA)

Data for a relaxed LiSiNi3 crystal.

It has space group Pm-3m (No. 221), with a = 3.854 Å, b = 3.854 Å, c = 3.854 Å, α = 90.00°, β = 90.00° and γ = 90.00°. Symmetry generates all atoms from Li at (0.000, 0.000, 0.000), Si at (0.500, 0.500, 0.500) and Ni at (0.000, 0.000, 0.500).

Its total energy is -21.82 eV for the cell shown. The energy above the most stable polymorph in this dataset comes out at 4.79 eV per formula unit.

***

## Li2SiNi (PBE-GGA)

Data for a relaxed Li2SiNi crystal.

It has space group P4/mmm (No. 123), with a = 3.421 Å, b = 3.421 Å, c = 4.150 Å, α = 90.00°, β = 90.00° and γ = 90.00°. Symmetry generates all atoms from Li at (0.000, 0.500, 0.000), Si at (0.000, 0.000, 0.500) and Ni at (0.500, 0.500, 0.500).

Its total energy is -15.94 eV for the cell shown.

***

Copy entry 5 word for word.
## Li3Si2Ni2 (PBE-GGA)

Data for a relaxed Li3Si2Ni2 crystal.

It has space group C2/m (No. 12), with a = 6.909 Å, b = 3.998 Å, c = 6.488 Å, α = 90.00°, β = 110.92° and γ = 90.00°. Symmetry generates all atoms from Li at (0.000, 0.000, 0.000), Li at (0.144, 0.000, 0.429), Si at (0.087, 0.500, 0.764) and Ni at (0.217, 0.500, 0.149).

Its total energy is -62.41 eV for the cell shown.